A relaxed structure of Dy2Er2Lu3Te2Ir2. Source: the Open Quantum Materials Database, functional PBE-GGA.

Summary:
* M_tot: 0.001 μB/atom

abc: 9.297 9.297 9.297
angles: 155.71 66.28 119.40
Sites, in units of the cell vectors:
Lu (0.898, 0.265, 0.633)
Dy (0.269, 0.415, 0.854)
Lu (0.182, 0.682, 0.500)
Ir (0.014, 0.753, 0.261)
Ir (0.492, 0.753, 0.739)
Te (0.522, 0.022, 0.500)
Lu (0.633, 0.265, 0.367)
Te (0.917, 0.917, 0.000)
Dy (0.561, 0.415, 0.146)
Er (0.870, 0.054, 0.816)
Er (0.238, 0.054, 0.184)

A relaxed structure of LuTaCd. Source: the Open Quantum Materials Database, functional PBE-GGA.

Summary:
* M_tot: 0.057 μB/atom

abc: 4.727 4.727 4.727
angles: 60.00 60.00 60.00
Sites, in units of the cell vectors:
Lu (0.250, 0.250, 0.250)
Ta (0.750, 0.750, 0.750)
Cd (0.000, 0.000, 0.000)

A relaxed structure of GaNi. Source: the Open Quantum Materials Database, functional PBE-GGA.

Summary:
* M_tot: 0.001 μB/atom

abc: 2.798 2.798 3.799
angles: 90.00 90.00 120.00
Sites, in units of the cell vectors:
Ni (0.333, 0.667, 0.250)
Ga (0.667, 0.333, 0.750)

Calculated VASP energy in order - -6.00; -4.92; -4.60 eV/atom